DFT (PBE-GGA) results for a geometry-optimized Mn2SnRh structure.

M_tot, Bohr magnetons per cell: 7.1
VASP energy, Ha/atom: -0.2764

a = 3.935 Å, b = 3.935 Å, c = 4.019 Å
α = 90.00°, β = 90.00°, γ = 90.00°
Atoms (fractional coordinates):
Mn1 0.000 0.500 0.000
Mn2 0.500 0.000 0.000
Sn1 0.000 0.000 0.500
Rh1 0.500 0.500 0.500

---

DFT (PBE-GGA) results for a geometry-optimized Mn2SnRh structure.

M_tot, Bohr magnetons per cell: 15.1
VASP energy, Ha/atom: -0.2619

a = 5.781 Å, b = 5.781 Å, c = 5.781 Å
α = 102.34°, β = 102.34°, γ = 124.93°
Atoms (fractional coordinates):
Mn1 0.098 0.625 0.973
Mn2 0.375 0.348 0.473
Mn3 0.652 0.125 0.027
Mn4 0.875 0.902 0.527
Sn1 0.250 0.750 0.500
Sn2 0.500 0.500 0.000
Rh1 0.000 0.000 0.000
Rh2 0.750 0.250 0.500

---

DFT (PBE-GGA) results for a geometry-optimized MnSn3Rh structure.

M_tot, Bohr magnetons per cell: 4.7
Relative energy among the computed polymorphs, meV per atom: 0

a = 5.120 Å, b = 5.120 Å, c = 5.120 Å
α = 90.00°, β = 90.00°, γ = 90.00°
Atoms (fractional coordinates):
Mn1 0.000 0.000 0.000
Sn1 0.000 0.500 0.500
Sn2 0.500 0.000 0.500
Sn3 0.500 0.500 0.000
Rh1 0.500 0.500 0.500

---

DFT (PBE-GGA) results for a geometry-optimized Mn2Sn2Rh structure.

M_tot, Bohr magnetons per cell: 11.5
Relative energy among the computed polymorphs, meV per atom: 0

a = 7.259 Å, b = 7.259 Å, c = 3.223 Å
α = 90.00°, β = 90.00°, γ = 90.00°
Atoms (fractional coordinates):
Mn1 0.121 0.379 0.000
Mn2 0.379 0.879 0.000
Mn3 0.621 0.121 0.000
Mn4 0.879 0.621 0.000
Sn1 0.179 0.679 0.500
Sn2 0.321 0.179 0.500
Sn3 0.679 0.821 0.500
Sn4 0.821 0.321 0.500
Rh1 0.000 0.000 0.000
Rh2 0.500 0.500 0.000

---

DFT (PBE-GGA) results for a geometry-optimized MnSn2Rh4 structure.

M_tot, Bohr magnetons per cell: 4.3
VASP energy, Ha/atom: -0.2570

a = 7.606 Å, b = 7.606 Å, c = 7.606 Å
α = 33.43°, β = 33.43°, γ = 33.43°
Atoms (fractional coordinates):
Mn1 0.000 0.000 0.000
Sn1 0.247 0.247 0.247
Sn2 0.753 0.753 0.753
Rh1 0.124 0.124 0.124
Rh2 0.373 0.373 0.373
Rh3 0.627 0.627 0.627
Rh4 0.876 0.876 0.876

---

DFT (PBE-GGA) results for a geometry-optimized MnSn3Rh structure.

M_tot, Bohr magnetons per cell: 0.0
Relative energy among the computed polymorphs, meV per atom: 185

a = 4.852 Å, b = 4.852 Å, c = 4.852 Å
α = 90.00°, β = 90.00°, γ = 90.00°
Atoms (fractional coordinates):
Mn1 0.000 0.000 0.000
Sn1 0.000 0.000 0.500
Sn2 0.000 0.500 0.000
Sn3 0.500 0.000 0.000
Rh1 0.500 0.500 0.500

---

What did the third record say?
DFT (PBE-GGA) results for a geometry-optimized MnSn3Rh structure.

M_tot, Bohr magnetons per cell: 4.7
Relative energy among the computed polymorphs, meV per atom: 0

a = 5.120 Å, b = 5.120 Å, c = 5.120 Å
α = 90.00°, β = 90.00°, γ = 90.00°
Atoms (fractional coordinates):
Mn1 0.000 0.000 0.000
Sn1 0.000 0.500 0.500
Sn2 0.500 0.000 0.500
Sn3 0.500 0.500 0.000
Rh1 0.500 0.500 0.500

---

- Number 3 is which compound?
  MnSn3Rh

---

- What is the formula in the sixth record?
  MnSn3Rh